# NaPAuO (PBE, optimized geometry)
# Relative energy among the computed polymorphs   0.308 eV/atom
data_NaPAuO
_chemical_formula_sum 'Na2 P2 Au2 O2'
_cell_length_a 4.246
_cell_length_b 4.246
_cell_length_c 6.450
_cell_angle_alpha 90.00
_cell_angle_beta 90.00
_cell_angle_gamma 90.00
_space_group_name_H-M_alt 'P 1'
_space_group_IT_number 1
loop_
_space_group_symop_operation_xyz
'x,y,z'
loop_
_atom_site_label
_atom_site_fract_x
_atom_site_fract_y
_atom_site_fract_z
Na1 0.250 0.250 0.140
Na2 0.750 0.750 0.860
P1 0.250 0.250 0.730
P2 0.750 0.750 0.270
Au1 0.250 0.750 0.500
Au2 0.750 0.250 0.500
O1 0.250 0.750 0.000
O2 0.750 0.250 0.000

# NaPAuO (PBE, optimized geometry)
# Relative energy among the computed polymorphs   0.000 eV/atom
data_NaPAuO
_chemical_formula_sum 'Na2 P2 Au2 O2'
_cell_length_a 3.231
_cell_length_b 8.899
_cell_length_c 4.879
_cell_angle_alpha 90.00
_cell_angle_beta 90.00
_cell_angle_gamma 90.00
_space_group_name_H-M_alt 'P 1'
_space_group_IT_number 1
loop_
_space_group_symop_operation_xyz
'x,y,z'
loop_
_atom_site_label
_atom_site_fract_x
_atom_site_fract_y
_atom_site_fract_z
Na1 0.000 0.082 0.000
Na2 0.000 0.918 0.500
P1 0.000 0.476 0.623
P2 0.000 0.524 0.123
Au1 0.500 0.291 0.514
Au2 0.500 0.709 0.014
O1 0.500 0.092 0.338
O2 0.500 0.908 0.838

# NaPbAu3O4 (PBE, optimized geometry)
# Final energy   -0.137 hartree per atom
data_NaPbAu3O4
_chemical_formula_sum 'Na1 Pb1 Au3 O4'
_cell_length_a 5.475
_cell_length_b 5.475
_cell_length_c 5.475
_cell_angle_alpha 90.00
_cell_angle_beta 90.00
_cell_angle_gamma 90.00
_space_group_name_H-M_alt 'P 1'
_space_group_IT_number 1
loop_
_space_group_symop_operation_xyz
'x,y,z'
loop_
_atom_site_label
_atom_site_fract_x
_atom_site_fract_y
_atom_site_fract_z
Na1 0.000 0.000 0.000
Pb1 0.500 0.500 0.500
Au1 0.000 0.500 0.500
Au2 0.500 0.000 0.500
Au3 0.500 0.500 0.000
O1 0.245 0.245 0.245
O2 0.245 0.755 0.755
O3 0.755 0.245 0.755
O4 0.755 0.755 0.245

# NaPdAuO3 (PBE, optimized geometry)
# Final energy   -0.171 hartree per atom
data_NaPdAuO3
_chemical_formula_sum 'Na4 Pd4 Au4 O12'
_cell_length_a 9.901
_cell_length_b 3.110
_cell_length_c 10.487
_cell_angle_alpha 90.00
_cell_angle_beta 90.00
_cell_angle_gamma 90.00
_space_group_name_H-M_alt 'P 1'
_space_group_IT_number 1
loop_
_space_group_symop_operation_xyz
'x,y,z'
loop_
_atom_site_label
_atom_site_fract_x
_atom_site_fract_y
_atom_site_fract_z
Na1 0.225 0.250 0.161
Na2 0.275 0.750 0.661
Na3 0.725 0.250 0.339
Na4 0.775 0.750 0.839
Pd1 0.021 0.250 0.377
Pd2 0.479 0.750 0.877
Pd3 0.521 0.250 0.123
Pd4 0.979 0.750 0.623
Au1 0.037 0.250 0.911
Au2 0.463 0.750 0.411
Au3 0.537 0.250 0.589
Au4 0.963 0.750 0.089
O1 0.087 0.750 0.783
O2 0.101 0.250 0.558
O3 0.136 0.750 0.319
O4 0.364 0.250 0.819
O5 0.399 0.750 0.058
O6 0.413 0.250 0.283
O7 0.587 0.750 0.717
O8 0.601 0.250 0.942
O9 0.636 0.750 0.181
O10 0.864 0.250 0.681
O11 0.899 0.750 0.442
O12 0.913 0.250 0.217

# NaPtAuO3 (PBE, optimized geometry)
# Final energy   -0.180 hartree per atom
data_NaPtAuO3
_chemical_formula_sum 'Na4 Pt4 Au4 O12'
_cell_length_a 11.891
_cell_length_b 3.192
_cell_length_c 8.638
_cell_angle_alpha 90.00
_cell_angle_beta 90.00
_cell_angle_gamma 90.00
_space_group_name_H-M_alt 'P 1'
_space_group_IT_number 1
loop_
_space_group_symop_operation_xyz
'x,y,z'
loop_
_atom_site_label
_atom_site_fract_x
_atom_site_fract_y
_atom_site_fract_z
Na1 0.220 0.250 0.129
Na2 0.280 0.750 0.629
Na3 0.720 0.250 0.371
Na4 0.780 0.750 0.871
Pt1 0.031 0.250 0.850
Pt2 0.469 0.750 0.350
Pt3 0.531 0.250 0.650
Pt4 0.969 0.750 0.150
Au1 0.099 0.250 0.476
Au2 0.401 0.750 0.976
Au3 0.599 0.250 0.024
Au4 0.901 0.750 0.524
O1 0.050 0.250 0.248
O2 0.095 0.750 0.976
O3 0.157 0.250 0.697
O4 0.343 0.750 0.197
O5 0.405 0.250 0.476
O6 0.450 0.750 0.748
O7 0.550 0.250 0.252
O8 0.595 0.750 0.524
O9 0.657 0.250 0.803
O10 0.843 0.750 0.303
O11 0.905 0.250 0.024
O12 0.950 0.750 0.752

# NaReAu3O4 (PBE, optimized geometry)
# Final energy   -0.179 hartree per atom
data_NaReAu3O4
_chemical_formula_sum 'Na1 Re1 Au3 O4'
_cell_length_a 5.654
_cell_length_b 5.654
_cell_length_c 5.654
_cell_angle_alpha 90.00
_cell_angle_beta 90.00
_cell_angle_gamma 90.00
_space_group_name_H-M_alt 'P 1'
_space_group_IT_number 1
loop_
_space_group_symop_operation_xyz
'x,y,z'
loop_
_atom_site_label
_atom_site_fract_x
_atom_site_fract_y
_atom_site_fract_z
Na1 0.000 0.000 0.000
Re1 0.500 0.500 0.500
Au1 0.000 0.500 0.500
Au2 0.500 0.000 0.500
Au3 0.500 0.500 0.000
O1 0.302 0.302 0.302
O2 0.302 0.698 0.698
O3 0.698 0.302 0.698
O4 0.698 0.698 0.302

# NaAuSO (PBE, optimized geometry)
# Relative energy among the computed polymorphs   0.166 eV/atom
data_NaAuSO
_chemical_formula_sum 'Na4 Au4 S4 O4'
_cell_length_a 7.431
_cell_length_b 8.669
_cell_length_c 4.781
_cell_angle_alpha 90.00
_cell_angle_beta 90.00
_cell_angle_gamma 90.00
_space_group_name_H-M_alt 'P 1'
_space_group_IT_number 1
loop_
_space_group_symop_operation_xyz
'x,y,z'
loop_
_atom_site_label
_atom_site_fract_x
_atom_site_fract_y
_atom_site_fract_z
Na1 0.109 0.100 0.000
Na2 0.391 0.100 0.500
Na3 0.609 0.900 0.000
Na4 0.891 0.900 0.500
Au1 0.089 0.723 0.978
Au2 0.411 0.723 0.478
Au3 0.589 0.277 0.978
Au4 0.911 0.277 0.478
S1 0.191 0.547 0.617
S2 0.309 0.547 0.117
S3 0.691 0.453 0.617
S4 0.809 0.453 0.117
O1 0.084 0.109 0.506
O2 0.416 0.109 0.006
O3 0.584 0.891 0.506
O4 0.916 0.891 0.006

# NaAuS4O14 (PBE, optimized geometry)
# Final energy   -0.208 hartree per atom
data_NaAuS4O14
_chemical_formula_sum 'Na2 Au2 S8 O28'
_cell_length_a 5.268
_cell_length_b 11.828
_cell_length_c 9.691
_cell_angle_alpha 90.00
_cell_angle_beta 114.81
_cell_angle_gamma 90.00
_space_group_name_H-M_alt 'P 1'
_space_group_IT_number 1
loop_
_space_group_symop_operation_xyz
'x,y,z'
loop_
_atom_site_label
_atom_site_fract_x
_atom_site_fract_y
_atom_site_fract_z
Na1 0.000 0.000 0.000
Na2 0.000 0.500 0.500
Au1 0.500 0.000 0.500
Au2 0.500 0.500 0.000
S1 0.276 0.037 0.742
S2 0.276 0.463 0.242
S3 0.354 0.230 0.583
S4 0.354 0.270 0.083
S5 0.646 0.730 0.917
S6 0.646 0.770 0.417
S7 0.724 0.537 0.758
S8 0.724 0.963 0.258
O1 0.051 0.001 0.778
O2 0.051 0.499 0.278
O3 0.171 0.159 0.660
O4 0.171 0.341 0.160
O5 0.179 0.174 0.022
O6 0.179 0.326 0.522
O7 0.269 0.541 0.114
O8 0.269 0.959 0.614
O9 0.321 0.155 0.447
O10 0.321 0.345 0.947
O11 0.364 0.741 0.807
O12 0.364 0.759 0.307
O13 0.450 0.552 0.639
O14 0.450 0.948 0.139
O15 0.550 0.052 0.861
O16 0.550 0.448 0.361
O17 0.636 0.241 0.693
O18 0.636 0.259 0.193
O19 0.679 0.655 0.053
O20 0.679 0.845 0.553
O21 0.731 0.041 0.386
O22 0.731 0.459 0.886
O23 0.821 0.674 0.478
O24 0.821 0.826 0.978
O25 0.829 0.659 0.840
O26 0.829 0.841 0.340
O27 0.949 0.501 0.722
O28 0.949 0.999 0.222

# NaAuSO (PBE, optimized geometry)
# Relative energy among the computed polymorphs   0.621 eV/atom
data_NaAuSO
_chemical_formula_sum 'Na2 Au2 S2 O2'
_cell_length_a 4.536
_cell_length_b 4.536
_cell_length_c 7.908
_cell_angle_alpha 90.00
_cell_angle_beta 90.00
_cell_angle_gamma 90.00
_space_group_name_H-M_alt 'P 1'
_space_group_IT_number 1
loop_
_space_group_symop_operation_xyz
'x,y,z'
loop_
_atom_site_label
_atom_site_fract_x
_atom_site_fract_y
_atom_site_fract_z
Na1 0.250 0.750 0.000
Na2 0.750 0.250 0.000
Au1 0.250 0.250 0.471
Au2 0.750 0.750 0.529
S1 0.250 0.250 0.173
S2 0.750 0.750 0.827
O1 0.250 0.750 0.500
O2 0.750 0.250 0.500

# NaAuSO (PBE, optimized geometry)
# Relative energy among the computed polymorphs   0.237 eV/atom
data_NaAuSO
_chemical_formula_sum 'Na2 Au2 S2 O2'
_cell_length_a 3.281
_cell_length_b 7.075
_cell_length_c 6.031
_cell_angle_alpha 90.00
_cell_angle_beta 90.00
_cell_angle_gamma 90.00
_space_group_name_H-M_alt 'P 1'
_space_group_IT_number 1
loop_
_space_group_symop_operation_xyz
'x,y,z'
loop_
_atom_site_label
_atom_site_fract_x
_atom_site_fract_y
_atom_site_fract_z
Na1 0.000 0.115 0.000
Na2 0.000 0.885 0.500
Au1 0.500 0.277 0.484
Au2 0.500 0.723 0.984
S1 0.000 0.468 0.652
S2 0.000 0.532 0.152
O1 0.500 0.058 0.281
O2 0.500 0.942 0.781

# NaAuSO (PBE, optimized geometry)
# Relative energy among the computed polymorphs   0.000 eV/atom
data_NaAuSO
_chemical_formula_sum 'Na4 Au4 S4 O4'
_cell_length_a 5.587
_cell_length_b 6.195
_cell_length_c 9.557
_cell_angle_alpha 90.00
_cell_angle_beta 102.19
_cell_angle_gamma 90.00
_space_group_name_H-M_alt 'P 1'
_space_group_IT_number 1
loop_
_space_group_symop_operation_xyz
'x,y,z'
loop_
_atom_site_label
_atom_site_fract_x
_atom_site_fract_y
_atom_site_fract_z
Na1 0.224 0.197 0.027
Na2 0.224 0.303 0.527
Na3 0.776 0.697 0.473
Na4 0.776 0.803 0.973
Au1 0.231 0.644 0.850
Au2 0.231 0.856 0.350
Au3 0.769 0.144 0.650
Au4 0.769 0.356 0.150
S1 0.345 0.679 0.089
S2 0.345 0.821 0.589
S3 0.655 0.179 0.411
S4 0.655 0.321 0.911
O1 0.147 0.631 0.629
O2 0.147 0.869 0.129
O3 0.853 0.131 0.871
O4 0.853 0.369 0.371

# NaSnAuO3 (PBE, optimized geometry)
# Final energy   -0.187 hartree per atom
data_NaSnAuO3
_chemical_formula_sum 'Na4 Sn4 Au4 O12'
_cell_length_a 10.645
_cell_length_b 3.192
_cell_length_c 10.241
_cell_angle_alpha 90.00
_cell_angle_beta 90.00
_cell_angle_gamma 90.00
_space_group_name_H-M_alt 'P 1'
_space_group_IT_number 1
loop_
_space_group_symop_operation_xyz
'x,y,z'
loop_
_atom_site_label
_atom_site_fract_x
_atom_site_fract_y
_atom_site_fract_z
Na1 0.240 0.250 0.145
Na2 0.260 0.750 0.645
Na3 0.740 0.250 0.355
Na4 0.760 0.750 0.855
Sn1 0.032 0.250 0.365
Sn2 0.468 0.750 0.865
Sn3 0.532 0.250 0.135
Sn4 0.968 0.750 0.635
Au1 0.042 0.250 0.915
Au2 0.458 0.750 0.415
Au3 0.542 0.250 0.585
Au4 0.958 0.750 0.085
O1 0.093 0.250 0.557
O2 0.096 0.750 0.787
O3 0.135 0.750 0.296
O4 0.365 0.250 0.796
O5 0.404 0.250 0.287
O6 0.407 0.750 0.057
O7 0.593 0.250 0.943
O8 0.596 0.750 0.713
O9 0.635 0.750 0.204
O10 0.865 0.250 0.704
O11 0.904 0.250 0.213
O12 0.907 0.750 0.443

# NaTbAu3O4 (PBE, optimized geometry)
# Final energy   -0.166 hartree per atom
data_NaTbAu3O4
_chemical_formula_sum 'Na1 Tb1 Au3 O4'
_cell_length_a 5.558
_cell_length_b 5.558
_cell_length_c 5.558
_cell_angle_alpha 90.00
_cell_angle_beta 90.00
_cell_angle_gamma 90.00
_space_group_name_H-M_alt 'P 1'
_space_group_IT_number 1
loop_
_space_group_symop_operation_xyz
'x,y,z'
loop_
_atom_site_label
_atom_site_fract_x
_atom_site_fract_y
_atom_site_fract_z
Na1 0.000 0.000 0.000
Tb1 0.500 0.500 0.500
Au1 0.000 0.500 0.500
Au2 0.500 0.000 0.500
Au3 0.500 0.500 0.000
O1 0.268 0.268 0.268
O2 0.268 0.732 0.732
O3 0.732 0.268 0.732
O4 0.732 0.732 0.268

# NaTeAuO (PBE, optimized geometry)
# Relative energy among the computed polymorphs   0.614 eV/atom
data_NaTeAuO
_chemical_formula_sum 'Na2 Te2 Au2 O2'
_cell_length_a 4.218
_cell_length_b 4.218
_cell_length_c 9.971
_cell_angle_alpha 90.00
_cell_angle_beta 90.00
_cell_angle_gamma 90.00
_space_group_name_H-M_alt 'P 1'
_space_group_IT_number 1
loop_
_space_group_symop_operation_xyz
'x,y,z'
loop_
_atom_site_label
_atom_site_fract_x
_atom_site_fract_y
_atom_site_fract_z
Na1 0.250 0.750 0.000
Na2 0.750 0.250 0.000
Te1 0.250 0.250 0.222
Te2 0.750 0.750 0.778
Au1 0.250 0.250 0.566
Au2 0.750 0.750 0.434
O1 0.250 0.750 0.500
O2 0.750 0.250 0.500

# NaTeAuO (PBE, optimized geometry)
# Relative energy among the computed polymorphs   0.000 eV/atom
data_NaTeAuO
_chemical_formula_sum 'Na2 Te2 Au2 O2'
_cell_length_a 3.446
_cell_length_b 8.197
_cell_length_c 6.260
_cell_angle_alpha 90.00
_cell_angle_beta 90.00
_cell_angle_gamma 90.00
_space_group_name_H-M_alt 'P 1'
_space_group_IT_number 1
loop_
_space_group_symop_operation_xyz
'x,y,z'
loop_
_atom_site_label
_atom_site_fract_x
_atom_site_fract_y
_atom_site_fract_z
Na1 0.000 0.042 0.000
Na2 0.000 0.958 0.500
Te1 0.000 0.481 0.008
Te2 0.000 0.519 0.508
Au1 0.500 0.282 0.621
Au2 0.500 0.718 0.121
O1 0.500 0.056 0.738
O2 0.500 0.944 0.238

# NaZrAu3O4 (PBE, optimized geometry)
# Final energy   -0.188 hartree per atom
data_NaZrAu3O4
_chemical_formula_sum 'Na1 Zr1 Au3 O4'
_cell_length_a 5.618
_cell_length_b 5.618
_cell_length_c 5.618
_cell_angle_alpha 90.00
_cell_angle_beta 90.00
_cell_angle_gamma 90.00
_space_group_name_H-M_alt 'P 1'
_space_group_IT_number 1
loop_
_space_group_symop_operation_xyz
'x,y,z'
loop_
_atom_site_label
_atom_site_fract_x
_atom_site_fract_y
_atom_site_fract_z
Na1 0.000 0.000 0.000
Zr1 0.500 0.500 0.500
Au1 0.000 0.500 0.500
Au2 0.500 0.000 0.500
Au3 0.500 0.500 0.000
O1 0.286 0.286 0.286
O2 0.286 0.714 0.714
O3 0.714 0.286 0.714
O4 0.714 0.714 0.286

# NaZrAuO3 (PBE, optimized geometry)
# Final energy   -0.244 hartree per atom
data_NaZrAuO3
_chemical_formula_sum 'Na4 Zr4 Au4 O12'
_cell_length_a 10.892
_cell_length_b 3.240
_cell_length_c 9.999
_cell_angle_alpha 90.00
_cell_angle_beta 90.00
_cell_angle_gamma 90.00
_space_group_name_H-M_alt 'P 1'
_space_group_IT_number 1
loop_
_space_group_symop_operation_xyz
'x,y,z'
loop_
_atom_site_label
_atom_site_fract_x
_atom_site_fract_y
_atom_site_fract_z
Na1 0.247 0.250 0.135
Na2 0.253 0.750 0.635
Na3 0.747 0.250 0.365
Na4 0.753 0.750 0.865
Zr1 0.037 0.250 0.358
Zr2 0.463 0.750 0.858
Zr3 0.537 0.250 0.142
Zr4 0.963 0.750 0.642
Au1 0.045 0.250 0.915
Au2 0.455 0.750 0.415
Au3 0.545 0.250 0.585
Au4 0.955 0.750 0.085
O1 0.086 0.250 0.560
O2 0.102 0.750 0.790
O3 0.137 0.750 0.291
O4 0.363 0.250 0.791
O5 0.398 0.250 0.290
O6 0.414 0.750 0.060
O7 0.586 0.250 0.940
O8 0.602 0.750 0.710
O9 0.637 0.750 0.209
O10 0.863 0.250 0.709
O11 0.898 0.250 0.210
O12 0.914 0.750 0.440

# NaTeOsAuS2 (PBE, optimized geometry)
# Final energy   -0.173 hartree per atom
data_NaTeOsAuS2
_chemical_formula_sum 'Na2 Te2 Os2 Au2 S4'
_cell_length_a 8.210
_cell_length_b 8.210
_cell_length_c 10.366
_cell_angle_alpha 90.00
_cell_angle_beta 90.00
_cell_angle_gamma 157.25
_space_group_name_H-M_alt 'P 1'
_space_group_IT_number 1
loop_
_space_group_symop_operation_xyz
'x,y,z'
loop_
_atom_site_label
_atom_site_fract_x
_atom_site_fract_y
_atom_site_fract_z
Na1 0.222 0.778 0.750
Na2 0.778 0.222 0.250
Te1 0.445 0.555 0.250
Te2 0.555 0.445 0.750
Os1 0.500 0.500 0.000
Os2 0.500 0.500 0.500
Au1 0.127 0.873 0.250
Au2 0.873 0.127 0.750
S1 0.110 0.890 0.025
S2 0.110 0.890 0.475
S3 0.890 0.110 0.525
S4 0.890 0.110 0.975